# 1
Compound: Sr2YFe
Source: Alexandria via LeMat-Bulk
Functional: PBE
Structure: optimized geometry

a b c (Å): 4.949 4.952 5.368
angles (deg): 90.00 90.00 90.00
Each line ends with the local moment (μB).
Fractional coordinates of all 4 atoms:
Fe 0.000 0.500 0.500  2.89
Sr 0.000 0.000 0.000  -0.07
Sr 0.500 0.500 0.000  -0.07
Y 0.500 0.000 0.500  -0.33

Density: 4.039 g/cm³
E above lowest polymorph: 0.354 eV/atom
Calculated formation energy: 0.640 eV/atom

=====

# 2
Compound: SrYFe2
Source: Alexandria via LeMat-Bulk
Functional: PBE
Structure: optimized geometry

a b c (Å): 5.299 5.299 7.037
angles (deg): 56.85 56.85 42.37
Each line ends with the local moment (μB).
Fractional coordinates of all 4 atoms:
Fe 0.996 0.996 0.818  0.42
Fe 0.504 0.504 0.682  0.42
Sr 0.250 0.250 0.250  0.00
Y 0.750 0.750 0.750  -0.05

Density: 4.437 g/cm³
Calculated formation energy: 0.417 eV/atom

=====

# 3
Compound: Sr2YFe
Source: Alexandria via LeMat-Bulk
Functional: PBE
Structure: optimized geometry

a b c (Å): 6.185 6.185 3.756
angles (deg): 90.00 90.00 108.93
Each line ends with the local moment (μB).
Fractional coordinates of all 4 atoms:
Fe 0.000 0.500 0.500  3.05
Sr 0.000 0.000 0.000  -0.06
Sr 0.500 0.500 0.000  -0.06
Y 0.500 0.000 0.500  -0.17

Density: 3.909 g/cm³
E above lowest polymorph: 0.413 eV/atom
Calculated formation energy: 0.698 eV/atom

=====

# 4
Compound: SrYFe2
Source: Alexandria via LeMat-Bulk
Functional: PBE
Structure: optimized geometry

a b c (Å): 3.796 4.372 6.311
angles (deg): 69.72 90.00 90.00
Each line ends with the local moment (μB).
Fractional coordinates of all 4 atoms:
Fe 0.000 0.194 0.986  1.99
Fe 0.500 0.086 0.204  2.16
Sr 0.000 0.474 0.427  -0.03
Y 0.500 0.746 0.882  -0.28

Density: 4.871 g/cm³
Calculated formation energy: 0.284 eV/atom

=====

# 5
Compound: SrYFe2
Source: Alexandria via LeMat-Bulk
Functional: PBE
Structure: optimized geometry

a b c (Å): 5.794 5.794 5.794
angles (deg): 136.84 136.84 62.69
Each line ends with the local moment (μB).
Fractional coordinates of all 4 atoms:
Fe 0.000 0.000 0.000  2.61
Fe 0.250 0.750 0.500  2.54
Sr 0.500 0.500 0.000  -0.13
Y 0.750 0.250 0.500  -0.42

Density: 5.324 g/cm³
Calculated formation energy: 0.728 eV/atom

=====

# 6
Compound: SrYFe2
Source: Alexandria via LeMat-Bulk
Functional: PBE
Structure: optimized geometry

a b c (Å): 7.988 5.046 3.575
angles (deg): 89.99 63.42 129.26
Each line ends with the local moment (μB).
Fractional coordinates of all 4 atoms:
Fe 0.000 0.000 0.000  2.57
Fe 0.500 0.000 0.500  2.57
Sr 0.000 0.500 0.500  -0.10
Y 0.500 0.500 0.000  -0.41

Density: 5.255 g/cm³
Calculated formation energy: 0.591 eV/atom